No. 1
# Tm4AlCuAg2 (PBE, optimized geometry)
data_Tm4AlCuAg2
_chemical_formula_sum 'Tm12 Al3 Cu3 Ag6'
_space_group_name_H-M_alt 'R -3 m'
_space_group_IT_number 166
_space_group_name_Hall '-R 3 2"'
_cell_length_a 5.0189
_cell_length_b 5.0189
_cell_length_c 24.5847
_cell_angle_alpha 90.00
_cell_angle_beta 90.00
_cell_angle_gamma 120.00
loop_
_atom_site_label
_atom_site_fract_x
_atom_site_fract_y
_atom_site_fract_z
_atom_site_occupancy
Tm1 0.0000 0.0000 0.1204 1
Tm2 0.0000 0.0000 0.3713 1
Al1 0.0000 0.0000 0.5000 1
Cu1 0.0000 0.0000 0.0000 1
Ag1 0.0000 0.0000 0.2448 1
# magnetization = 0.00 μB/f.u.
# energy relative to the elements = -0.325 eV/atom

No. 2
# Tm2Al3Cu12Ag (PBE, optimized geometry)
data_Tm2Al3Cu12Ag
_chemical_formula_sum 'Tm6 Al9 Cu36 Ag3'
_space_group_name_H-M_alt 'R -3 m'
_space_group_IT_number 166
_space_group_name_Hall '-R 3 2"'
_cell_length_a 6.1637
_cell_length_b 6.1637
_cell_length_c 27.3074
_cell_angle_alpha 90.00
_cell_angle_beta 90.00
_cell_angle_gamma 120.00
loop_
_atom_site_label
_atom_site_fract_x
_atom_site_fract_y
_atom_site_fract_z
_atom_site_occupancy
Tm1 0.0000 0.0000 0.1408 1
Al1 0.0000 0.5000 0.0000 1
Cu1 0.0485 0.5243 0.8973 1
Cu2 0.0762 0.5381 0.6206 1
Ag1 0.0000 0.0000 0.5000 1
# magnetization = 0.00 μB/f.u.
# energy relative to the elements = 0.102 eV/atom